1.
# Mn2SiAsPd

A geometry-optimized Mn2SiAsPd structure (PBE, Alexandria via LeMat-Bulk).

Properties
SG: P4/mmm
Raw total energy (eV/cell): -29.5
E_form (uncorrected) (kJ/mol of atoms): 79
M_tot (μB/cell): 8.39
D(E_F) (states/eV/cell): 3.46

Lattice parameters (Å, degrees): 4.890 4.575 4.890 90.00 90.00 90.00
Fractional positions:
As 0.000 0.500 0.000
Pd 0.000 0.000 0.000
Mn 0.000 0.000 0.500
Mn 0.500 0.000 0.000
Si 0.500 0.500 0.500

---

2.
# MnSn2As2Pd7

A geometry-optimized MnSn2As2Pd7 structure (PBE, Alexandria via LeMat-Bulk).

Properties
Formation energy from the elements (eV/atom): -0.298
SG: C2/m
Raw total energy (eV/cell): -66.4
M_tot (μB/cell): 4.31
D(E_F) (states/eV/cell): 4.67

Lattice parameters (Å, degrees): 3.937 3.937 14.663 85.84 85.84 90.52
Fractional positions:
Pd 0.038 0.538 0.863
Pd 0.500 0.500 0.000
Pd 0.462 0.962 0.137
Pd 0.612 0.612 0.589
Pd 0.962 0.462 0.137
Pd 0.388 0.388 0.411
Pd 0.538 0.038 0.863
Mn 0.000 0.000 0.000
As 0.435 0.435 0.240
As 0.565 0.565 0.760
Sn 0.875 0.875 0.411
Sn 0.125 0.125 0.589